Entry 1:
Entry from Alexandria: a relaxed structure of Rb3Pu2ScTe6 (PBE-GGA).

The structure in CIF format:
```
data_Rb3Pu2ScTe6
_chemical_formula_sum 'Rb6 Pu4 Sc2 Te12'
_space_group_name_H-M_alt 'C 1 2/m 1'
_space_group_IT_number 12
_space_group_name_Hall '-C 2y'
_cell_length_a 7.8275
_cell_length_b 13.5608
_cell_length_c 8.8932
_cell_angle_alpha 90.00
_cell_angle_beta 107.10
_cell_angle_gamma 90.00
loop_
_atom_site_label
_atom_site_fract_x
_atom_site_fract_y
_atom_site_fract_z
Rb1 0.0000 0.0000 0.0000
Rb2 0.0000 0.3298 0.0000
Pu1 0.0000 0.1663 0.5000
Sc1 0.0000 0.5000 0.5000
Te1 0.2250 0.3401 0.6955
Te2 0.2462 0.0000 0.6966
```

Computed properties:
Total DFT energy (no corrections) ... -5.86 eV per atom
DOS at the Fermi energy ... 53.71 states/eV/cell
Mass density ... 5.72 Mg/m³



Entry 2:
Entry from Alexandria: a relaxed structure of Rb5PuSe4 (PBE-GGA).

The structure in CIF format:
```
data_Rb5PuSe4
_chemical_formula_sum 'Rb10 Pu2 Se8'
_space_group_name_H-M_alt 'C 1 2/m 1'
_space_group_IT_number 12
_space_group_name_Hall '-C 2y'
_cell_length_a 20.7637
_cell_length_b 4.8104
_cell_length_c 8.8123
_cell_angle_alpha 90.00
_cell_angle_beta 115.03
_cell_angle_gamma 90.00
loop_
_atom_site_label
_atom_site_fract_x
_atom_site_fract_y
_atom_site_fract_z
Rb1 0.0000 0.0000 0.0000
Rb2 0.1713 0.5000 0.9241
Rb3 0.1719 0.5000 0.4213
Pu1 0.0000 0.0000 0.5000
Se1 0.0003 0.5000 0.2841
Se2 0.1661 0.0000 0.6669
```

Computed properties:
Total DFT energy (no corrections) ... -4.38 eV per atom
DOS at the Fermi energy ... 28.44 states/eV/cell
Mass density ... 4.11 Mg/m³



Entry 3:
Entry from Alexandria: a relaxed structure of RbPu2Se3 (PBE-GGA).

The structure in CIF format:
```
data_RbPu2Se3
_chemical_formula_sum 'Rb2 Pu4 Se6'
_space_group_name_H-M_alt 'P 63/m m c'
_space_group_IT_number 194
_space_group_name_Hall '-P 6c 2c'
_cell_length_a 4.2591
_cell_length_b 4.2591
_cell_length_c 22.7826
_cell_angle_alpha 90.00
_cell_angle_beta 90.00
_cell_angle_gamma 120.00
loop_
_atom_site_label
_atom_site_fract_x
_atom_site_fract_y
_atom_site_fract_z
Rb1 0.0000 0.0000 0.2500
Pu1 0.3333 0.6667 0.0754
Se1 0.0000 0.0000 0.0000
Se2 0.3333 0.6667 0.6430
```

Computed properties:
Total DFT energy (no corrections) ... -8.17 eV per atom
DOS at the Fermi energy ... 42.74 states/eV/cell
Mass density ... 7.52 Mg/m³



Entry 4:
Entry from Alexandria: a relaxed structure of RbPuSe3 (PBE-GGA).

The structure in CIF format:
```
data_RbPuSe3
_chemical_formula_sum 'Rb1 Pu1 Se3'
_space_group_name_H-M_alt 'P m -3 m'
_space_group_IT_number 221
_space_group_name_Hall '-P 4 2 3'
_cell_length_a 5.4746
_cell_length_b 5.4746
_cell_length_c 5.4746
_cell_angle_alpha 90.00
_cell_angle_beta 90.00
_cell_angle_gamma 90.00
loop_
_atom_site_label
_atom_site_fract_x
_atom_site_fract_y
_atom_site_fract_z
Rb1 0.0000 0.0000 0.0000
Pu1 0.5000 0.5000 0.5000
Se1 0.0000 0.5000 0.5000
```

Computed properties:
Total DFT energy (no corrections) ... -6.27 eV per atom
DOS at the Fermi energy ... 3.01 states/eV/cell
Mass density ... 5.73 Mg/m³